Material: Tb2ZnO
Method: DFT, PBE
State: optimized geometry

## Properties
The value obtained for the uncorrected energy is -4.946 eV per atom. As for the space-group type: R-3m (166). Its density is 7.3 g cm⁻³. As for the formation energy from raw total energies: -1073.1 meV/atom. The calculation puts the density of states at the Fermi level at 2.98 states/eV per cell.

Unit cell a=3.4881 b=3.4881 c=8.8426 alpha=78.62 beta=78.62 gamma=60.00
Positions (direct):
Tb1 0.8850 0.8850 0.3451
Tb2 0.1150 0.1150 0.6549
O1 0.5000 0.5000 0.5000
Zn1 0.0000 0.0000 0.0000

***

Material: YLuAu
Method: DFT, PBE
State: optimized geometry

## Properties
The value obtained for the uncorrected energy is -5.229 eV per atom. As for the space-group type: F-43m (216). Its density is 9.0 g cm⁻³. The calculation puts the density of states at the Fermi level at 3.66 states/eV per cell.

Unit cell a=4.9267 b=4.9267 c=4.9267 alpha=60.00 beta=60.00 gamma=60.00
Positions (direct):
Au1 0.2500 0.2500 0.2500
Lu1 0.5000 0.5000 0.5000
Y1 0.0000 0.0000 0.0000

***

Material: LiRe2Ir2
Method: DFT, PBE
State: optimized geometry

## Properties
The value obtained for the uncorrected energy is -8.566 eV per atom. As for the space-group type: I4/mmm (139). Its density is 14.5 g cm⁻³. The calculation puts the density of states at the Fermi level at 2.89 states/eV per cell.

Unit cell a=3.9406 b=3.9406 c=6.2987 alpha=71.77 beta=71.77 gamma=90.00
Positions (direct):
Re1 0.2500 0.7500 0.5000
Re2 0.7500 0.2500 0.5000
Ir1 0.6061 0.6061 0.7878
Ir2 0.3939 0.3939 0.2122
Li1 0.0000 0.0000 0.0000

***

Material: CuHgW
Method: DFT, PBE
State: optimized geometry

## Properties
The value obtained for the uncorrected energy is -4.387 eV per atom. As for the space-group type: F-43m (216). Its density is 12.5 g cm⁻³. The calculation puts the density of states at the Fermi level at 3.26 states/eV per cell.

Unit cell a=4.3836 b=4.3836 c=4.3836 alpha=60.00 beta=60.00 gamma=60.00
Positions (direct):
W1 0.7500 0.7500 0.7500
Cu1 0.0000 0.0000 0.0000
Hg1 0.5000 0.5000 0.5000